[1]
ErCoW: relaxed, PBE.

abc: 4.450 4.450 4.450
angles: 60.00 60.00 60.00
Element x y z (fractional)
1 Co 0.250 0.250 0.250
2 Er 0.000 0.000 0.000
3 W 0.750 0.750 0.750

Output
Crystal system: cubic
Magnetization in μB per formula unit: 2.737
Energy of formation in eV/atom: 1.7452
Density in g/cm3: 10.930

=====

[2]
Nb4AlN3: relaxed, PBE.

abc: 3.090 3.090 24.486
angles: 90.00 90.00 120.00
Element x y z (fractional)
1 Al 0.333 0.667 0.250
2 Al 0.667 0.333 0.750
3 N 0.000 0.000 0.000
4 N 0.667 0.333 0.107
5 N 0.667 0.333 0.393
6 N 0.000 0.000 0.500
7 N 0.333 0.667 0.607
8 N 0.333 0.667 0.893
9 Nb 0.333 0.667 0.051
10 Nb 0.000 0.000 0.159
11 Nb 0.000 0.000 0.341
12 Nb 0.333 0.667 0.449
13 Nb 0.667 0.333 0.551
14 Nb 0.000 0.000 0.659
15 Nb 0.000 0.000 0.841
16 Nb 0.667 0.333 0.949

Output
Crystal system: hexagonal
Magnetization in μB per formula unit: 0.001
Total energy in eV per atom: -9.399
Density in g/cm3: 7.229